A | Tb3Sm2In4: optimized geometry, PBE.

Cell lengths 9.2169, 5.3267, 10.3775 Å; angles 90.00, 90.08, 90.00 degrees
Closest atoms and distances in Å follow each position.
Space group C2/m (No. 12)
Asymmetric unit:
Tb (0.0000, 0.0000, 0.0000)  8 In 3.24-3.62
Tb (0.1667, 0.5000, 0.4247)  4 In 3.17-3.36, 3 Tb 3.45
Sm (0.1670, 0.5000, 0.7782)  7 In 3.32-3.34, 1 Tb 3.67
In (0.9999, 0.0000, 0.3487)  1 In 3.14, 3 Tb 3.17, 3 Sm 3.34
In (0.1664, 0.5000, 0.1005)  4 Tb 3.24-3.36, 4 Sm 3.32-3.34

M_tot: 0.0 Bohr magnetons per cell
volume: 28.3 Å³/atom
crystal system: monoclinic

B | Tb3Sm2In4: optimized geometry, PBE.

Cell lengths 7.1113, 16.4464, 9.2246 Å; angles 90.00, 90.00, 90.00 degrees
Closest atoms and distances in Å follow each position.
Space group Cmce (No. 64)
Asymmetric unit:
Tb (0.0000, 0.0000, 0.0000)  6 In 2.95-3.08
Tb (0.2500, 0.2174, 0.2500)  5 In 3.08-3.23
Sm (0.0000, 0.1093, 0.5734)  5 In 3.33-3.71
In (0.0000, 0.1859, 0.9630)  5 Tb 3.08-3.23
In (0.2500, 0.0300, 0.2500)  3 Tb 2.95-3.08

M_tot: 0.0 Bohr magnetons per cell
volume: 30.0 Å³/atom
crystal system: orthorhombic

Tell me which of them is the least stable. Sure, it is B.

A | Tb2Sm5In4: optimized geometry, PBE.

Cell lengths 3.5202, 9.2748, 22.2922 Å; angles 90.00, 90.00, 90.00 degrees
Closest atoms and distances in Å follow each position.
Space group Immm (No. 71)
Asymmetric unit:
Tb (0.0000, 0.0000, 0.1161)  1 In 2.93, 4 Sm 3.11-3.13
Sm (0.0000, 0.3181, 0.1602)  1 Tb 3.11, 2 In 3.19, 1 Sm 3.37
Sm (0.0000, 0.5000, 0.5000)  4 Tb 3.13
In (0.0000, 0.0000, 0.2477)  1 Tb 2.93, 4 Sm 3.19
In (0.0000, 0.3273, 0.0000)  3 In 3.20-3.52, 4 Sm 3.51-3.57

M_tot: 0.0 Bohr magnetons per cell
volume: 33.1 Å³/atom
crystal system: orthorhombic

B | Tb2Sm5In4: optimized geometry, PBE.

Cell lengths 8.7249, 3.4521, 10.6640 Å; angles 90.00, 95.59, 90.00 degrees
Closest atoms and distances in Å follow each position.
Space group P2/m (No. 10)
Asymmetric unit:
Tb (0.0827, 0.0000, 0.1380)  3 Tb 3.15-3.45, 6 In 3.18-3.35, 2 Sm 3.29-3.31
Sm (0.1594, 0.0000, 0.6417)  1 Tb 3.31, 6 In 3.34-3.57, 3 Sm 3.45-3.46
Sm (0.4612, 0.0000, 0.1662)  1 Tb 3.29, 4 In 3.30-3.51, 4 Sm 3.45-3.67
Sm (0.5000, 0.0000, 0.5000)  4 In 3.29, 6 Sm 3.45-3.54
In (0.2006, 0.5000, 0.3785)  2 Tb 3.18, 4 Sm 3.29-3.34, 2 In 3.45
In (0.2452, 0.5000, 0.9229)  4 Tb 3.30-3.35, 6 Sm 3.30-3.51, 2 In 3.45

M_tot: 0.0 Bohr magnetons per cell
volume: 29.1 Å³/atom
crystal system: monoclinic

Tell me which of them is the least stable. Sure, it is A.

A | Tb2Sm2In3: optimized geometry, PBE.

Cell lengths 3.9551, 6.5457, 9.0195 Å; angles 69.42, 77.41, 72.45 degrees
Closest atoms and distances in Å follow each position.
Space group P-1 (No. 2)
Asymmetric unit:
Tb (0.1322, 0.0578, 0.1780)  5 In 3.23-3.37
Sm (0.3846, 0.2805, 0.4519)  3 In 3.20-3.25, 1 Sm 3.34
In (0.1711, 0.3634, 0.7930)  2 In 2.99, 3 Sm 3.20-3.25, 3 Tb 3.23-3.34
In (0.5000, 0.5000, 0.0000)  4 In 2.99

M_tot: 0.0 Bohr magnetons per cell
volume: 29.5 Å³/atom
crystal system: triclinic

B | Tb2Sm2In3: optimized geometry, PBE.

Cell lengths 4.5762, 24.7266, 3.5109 Å; angles 90.00, 90.00, 90.00 degrees
Closest atoms and distances in Å follow each position.
Space group Cmmm (No. 65)
Asymmetric unit:
Tb (0.0000, 0.2017, 0.0000)  4 In 3.22, 1 Sm 3.25, 4 Tb 3.31-3.51
Sm (0.0000, 0.0701, 0.0000)  1 Tb 3.25, 8 In 3.36-3.41, 3 Sm 3.47-3.51
In (0.0000, 0.3562, 0.5000)  4 Tb 3.22, 4 Sm 3.41, 3 In 3.51-3.55
In (0.0000, 0.5000, 0.5000)  8 Sm 3.36, 4 In 3.51-3.55

M_tot: 0.0 Bohr magnetons per cell
volume: 28.4 Å³/atom
crystal system: orthorhombic

Tell me which of them is the least stable. Sure, it is A.